No. 1
Computed, not measured: MnOsSe2 at its PBEsol-relaxed geometry at the SCAN level of DFT.

As for the space group: No. 166. Its density of states at the Fermi level is 2.27 states/eV/cell. For the raw total energy, the calculation gives -127.990 eV/cell. The raw formation energy comes out at 575 meV per atom.

Lattice parameters (Å, degrees): 2.951 2.951 7.651 78.88 78.88 60.00
Atoms (fractional coordinates):
Mn: 0.500 0.500 0.500
Se: 0.756 0.756 0.732
Se: 0.244 0.244 0.268
Os: 0.000 0.000 0.000


No. 2
Computed, not measured: Mn2OsSe at its PBEsol-relaxed geometry at the SCAN level of DFT.

As for the space group: No. 47. Its density of states at the Fermi level is 2.97 states/eV/cell. For the raw total energy, the calculation gives -127.808 eV/cell. The raw formation energy comes out at 165 meV per atom.

Lattice parameters (Å, degrees): 2.956 4.167 4.338 90.00 90.00 90.00
Atoms (fractional coordinates):
Se: 0.000 0.500 0.500
Mn: 0.500 0.000 0.500
Mn: 0.000 0.000 0.000
Os: 0.500 0.500 0.000


No. 3
Computed, not measured: MnOs2Se at its PBEsol-relaxed geometry at the SCAN level of DFT.

As for the space group: No. 12. Its density of states at the Fermi level is 3.37 states/eV/cell. For the raw total energy, the calculation gives -179.868 eV/cell. The raw formation energy comes out at 556 meV per atom.

Lattice parameters (Å, degrees): 2.800 4.568 5.211 115.16 104.32 92.80
Atoms (fractional coordinates):
Os: 0.500 0.500 0.500
Se: 0.000 0.500 0.000
Mn: 0.500 0.000 0.000
Os: 0.000 0.000 0.500


Look up the raw total energy of the first one.
-127.990 eV/cell